A relaxed SrPmNO crystal, computed with PBE.

a b c (Å): 4.2011 4.2011 8.5507
angles (deg): 90.00 90.00 90.00
Last column: nearest neighbours and their distance in Å.
Space group P4/nmm (No. 129, origin choice 2)
Symmetry-distinct sites (fractional):
Sr 0.2500 0.7500 0.0000  4 N 2.51
Pm 0.2500 0.2500 0.3808  4 O 2.33
N 0.2500 0.2500 0.8383  4 Sr 2.51
O 0.2500 0.7500 0.5000  4 Pm 2.33

Calculated values
- Energy above the lowest structure with this stoichiometry: 678 meV per atom



A relaxed SrPmNO crystal, computed with PBE.

a b c (Å): 3.9247 7.0391 6.0507
angles (deg): 90.00 90.00 90.00
Last column: nearest neighbours and their distance in Å.
Space group Pmc2_1 (No. 26)
Symmetry-distinct sites (fractional):
Sr 0.0000 0.1624 0.0000  2 O 2.46, 2 N 2.51-2.54
Pm 0.5000 0.3393 0.5104  2 O 2.29-2.30, 2 N 2.30
N 0.0000 0.1878 0.4180  2 Pm 2.30, 2 Sr 2.51-2.54
O 0.5000 0.3507 0.8882  2 Pm 2.29-2.30, 2 Sr 2.46

Calculated values
- Energy above the lowest structure with this stoichiometry: 76 meV per atom



A relaxed SrPmNO crystal, computed with PBE.

a b c (Å): 7.2336 8.4815 5.1292
angles (deg): 90.00 90.00 90.00
Last column: nearest neighbours and their distance in Å.
Space group Pca2_1 (No. 29)
Symmetry-distinct sites (fractional):
Sr 0.0841 0.1271 0.0000  4 O 2.47-2.57, 1 N 2.53
Pm 0.0824 0.6224 0.9989  1 O 2.36, 4 N 2.37-2.59
N 0.0906 0.6143 0.5038  4 Pm 2.37-2.59, 1 Sr 2.53
O 0.0738 0.1329 0.5005  1 Pm 2.36, 4 Sr 2.47-2.57

Calculated values
- Energy above the lowest structure with this stoichiometry: 0 meV per atom



A relaxed SrPmNO crystal, computed with PBE.

a b c (Å): 4.2857 7.1839 5.1182
angles (deg): 90.00 90.00 90.00
Last column: nearest neighbours and their distance in Å.
Space group Pmc2_1 (No. 26)
Symmetry-distinct sites (fractional):
Sr 0.0000 0.1700 0.0000  2 N 2.50, 3 O 2.55-2.57
Pm 0.5000 0.3355 0.5007  2 N 2.27-2.53, 2 O 2.40
N 0.5000 0.3483 0.9940  2 Pm 2.27-2.53, 2 Sr 2.50
O 0.0000 0.1863 0.4986  2 Pm 2.40, 3 Sr 2.55-2.57

Calculated values
- Energy above the lowest structure with this stoichiometry: 48 meV per atom



A relaxed PmTaNO crystal, computed with PBE.

a b c (Å): 4.0794 5.4151 5.2066
angles (deg): 90.00 90.00 90.00
Last column: nearest neighbours and their distance in Å.
Space group Pmc2_1 (No. 26)
Symmetry-distinct sites (fractional):
Pm 0.0000 0.2309 0.0000  3 N 2.50-2.64, 4 O 2.72-2.73
Ta 0.5000 0.2959 0.5005  2 N 2.04, 2 O 2.06
N 0.0000 0.3065 0.5004  2 Ta 2.04
O 0.5000 0.0010 0.7520  2 Ta 2.06

Calculated values
- Energy above the lowest structure with this stoichiometry: 103 meV per atom



A relaxed PmTaNO crystal, computed with PBE.

a b c (Å): 6.3392 7.6794 5.2026
angles (deg): 90.00 90.00 90.00
Last column: nearest neighbours and their distance in Å.
Space group Pca2_1 (No. 29)
Symmetry-distinct sites (fractional):
Pm 0.0598 0.1426 0.0000  4 N 2.38-2.61, 1 O 2.65
Ta 0.1256 0.6550 0.0028  1 N 1.92, 2 O 2.10-2.14
N 0.0656 0.1508 0.5017  1 Ta 1.92
O 0.0754 0.5440 0.6314  3 Ta 2.10-2.18

Calculated values
- Energy above the lowest structure with this stoichiometry: 314 meV per atom



A relaxed PmTaNO crystal, computed with PBE.

a b c (Å): 6.6092 7.7597 4.6515
angles (deg): 90.00 90.00 90.00
Last column: nearest neighbours and their distance in Å.
Space group Pca2_1 (No. 29)
Symmetry-distinct sites (fractional):
Pm 0.0438 0.1307 0.0000  4 O 2.37-2.47, 1 N 2.41
Ta 0.1076 0.6286 0.9993  2 N 2.06, 1 O 2.10
N 0.0859 0.5792 0.5017  2 Ta 2.06
O 0.0961 0.1645 0.5001  1 Ta 2.10

Calculated values
- Energy above the lowest structure with this stoichiometry: 166 meV per atom



A relaxed PmTaNO crystal, computed with PBE.

a b c (Å): 4.1037 4.1037 8.2437
angles (deg): 90.00 90.00 90.00
Last column: nearest neighbours and their distance in Å.
Space group P4/nmm (No. 129, origin choice 2)
Symmetry-distinct sites (fractional):
Pm 0.2500 0.2500 0.1345  4 O 2.33, 1 N 2.59
Ta 0.2500 0.7500 0.5000  4 N 2.09
N 0.2500 0.2500 0.4490  4 Ta 2.09
O 0.2500 0.7500 0.0000  4 Pm 2.33

Calculated values
- Energy above the lowest structure with this stoichiometry: 0 meV per atom



A relaxed PmTaNO crystal, computed with PBE.

a b c (Å): 4.4559 4.4559 5.9634
angles (deg): 90.00 90.00 90.00
Last column: nearest neighbours and their distance in Å.
Space group P4/nmm (No. 129, origin choice 2)
Symmetry-distinct sites (fractional):
Pm 0.2500 0.7500 0.0000  4 N 2.42
Ta 0.2500 0.2500 0.4776  1 N 1.90
N 0.2500 0.2500 0.1586  1 Ta 1.90
O 0.2500 0.7500 0.5000  4 Ta 2.23

Calculated values
- Energy above the lowest structure with this stoichiometry: 635 meV per atom



A relaxed PmTaNO crystal, computed with PBE.

a b c (Å): 4.0631 5.3153 5.4427
angles (deg): 90.00 90.00 90.00
Last column: nearest neighbours and their distance in Å.
Space group Pmc2_1 (No. 26)
Symmetry-distinct sites (fractional):
Pm 0.0000 0.2260 0.0000  4 O 2.54-2.78, 4 N 2.72-2.73
Ta 0.5000 0.2734 0.4990  2 N 1.99, 2 O 2.04
N 0.5000 0.9997 0.2488  2 Ta 1.99
O 0.0000 0.2966 0.4983  2 Ta 2.04

Calculated values
- Energy above the lowest structure with this stoichiometry: 146 meV per atom



A relaxed TbPmNO crystal, computed with PBE.

a b c (Å): 8.1957 6.7503 5.0298
angles (deg): 90.00 90.00 90.00
Last column: nearest neighbours and their distance in Å.
Space group Pbcm (No. 57)
Symmetry-distinct sites (fractional):
Tb 0.1240 0.0841 0.2500  1 O 2.27, 4 N 2.27-2.52
Pm 0.3757 0.5696 0.2500  4 O 2.31-2.52, 1 N 2.31
N 0.1201 0.0759 0.7500  4 Tb 2.27-2.52, 1 Pm 2.31
O 0.3612 0.5892 0.7500  1 Tb 2.27, 4 Pm 2.31-2.52

Calculated values
- Energy above the lowest structure with this stoichiometry: 21 meV per atom



A relaxed TbPmNO crystal, computed with PBE.

a b c (Å): 4.2946 4.2946 7.8842
angles (deg): 90.00 90.00 90.00
Last column: nearest neighbours and their distance in Å.
Space group P4/nmm (No. 129, origin choice 2)
Symmetry-distinct sites (fractional):
Tb 0.2500 0.2500 0.1019  4 O 2.29
Pm 0.2500 0.7500 0.5000  4 N 2.44
N 0.2500 0.2500 0.6464  4 Pm 2.44
O 0.2500 0.7500 0.0000  4 Tb 2.29

Calculated values
- Energy above the lowest structure with this stoichiometry: 549 meV per atom